[1]
The following is a GGA-PBE calculation of a relaxed Ni2MoAu crystal, from Alexandria.

Values from the calculation:
The space group is No. 47. For the density of states at the Fermi level, the calculation gives 1.485 states/eV/atom. For the total magnetic moment, the calculation gives 0.90 Bohr magnetons per cell. The value obtained for the formation energy is 0.38 eV per atom.

Unit cell a=2.763 b=4.727 c=4.398 alpha=90.00 beta=90.00 gamma=90.00
Site moments in Bohr magnetons follow the coordinates.
Element x y z (fractional)
1 Au 0.500 0.000 0.500  0.02
2 Mo 0.000 0.500 0.500  0.12
3 Ni 0.000 0.000 0.000  0.54
4 Ni 0.500 0.500 0.000  0.23

[2]
The following is a GGA-PBE calculation of a relaxed SrHo2Tl2Ag2 crystal, from Alexandria.

Values from the calculation:
The space group is No. 166. For the density of states at the Fermi level, the calculation gives 0.901 states/eV/atom. For the total magnetic moment, the calculation gives 0.00 Bohr magnetons per cell. The value obtained for the formation energy is -0.21 eV per atom.

Unit cell a=4.970 b=4.970 c=9.739 alpha=75.22 beta=75.22 gamma=60.00
Element x y z (fractional)
1 Sr 0.000 0.000 0.000
2 Ho 0.135 0.135 0.596
3 Ho 0.865 0.865 0.404
4 Tl 0.745 0.745 0.764
5 Tl 0.255 0.255 0.236
6 Ag 0.556 0.556 0.332
7 Ag 0.444 0.444 0.668

[3]
The following is a GGA-PBE calculation of a relaxed IrPbCl2 crystal, from Alexandria.

Values from the calculation:
The space group is No. 65. For the density of states at the Fermi level, the calculation gives 0.651 states/eV/atom. For the total magnetic moment, the calculation gives 0.00 Bohr magnetons per cell. For the formation energy (no corrections), the calculation gives 16 kJ per mole of atoms. The distance to the lowest polymorph of the same formula comes out at 0.2661 eV per atom.

Unit cell a=3.422 b=3.422 c=9.886 alpha=90.00 beta=90.00 gamma=120.76
Element x y z (fractional)
1 Pb 0.500 0.500 0.750
2 Ir 0.500 0.500 0.250
3 Cl 0.000 0.000 0.084
4 Cl 0.000 0.000 0.416

[4]
The following is a GGA-PBE calculation of a relaxed TlCr2Re crystal, from Alexandria.

Values from the calculation:
The space group is No. 122. For the density of states at the Fermi level, the calculation gives 0.936 states/eV/atom. For the total magnetic moment, the calculation gives 7.98 Bohr magnetons per cell. The value obtained for the formation energy is 1.04 eV per atom. The distance to the lowest polymorph of the same formula comes out at 0.5710 eV per atom.

Unit cell a=7.177 b=7.177 c=5.790 alpha=51.70 beta=51.70 gamma=90.00
Site moments in Bohr magnetons follow the coordinates.
Element x y z (fractional)
1 Re 0.500 0.500 0.000  -0.70
2 Re 0.250 0.750 0.500  -0.71
3 Tl 0.000 0.000 0.000  -0.01
4 Tl 0.750 0.250 0.500  -0.02
5 Cr 0.572 0.125 0.250  2.23
6 Cr 0.178 0.625 0.250  2.25
7 Cr 0.375 0.428 0.750  2.20
8 Cr 0.875 0.822 0.750  2.21

[5]
The following is a GGA-PBE calculation of a relaxed LuScTlPt crystal, from Alexandria.

Values from the calculation:
The space group is No. 216. For the density of states at the Fermi level, the calculation gives 0.926 states/eV/atom. For the total magnetic moment, the calculation gives 0.00 Bohr magnetons per cell. The value obtained for the formation energy is -0.69 eV per atom.

Unit cell a=4.963 b=4.963 c=4.963 alpha=60.00 beta=60.00 gamma=60.00
Element x y z (fractional)
1 Sc 0.500 0.500 0.500
2 Tl 0.250 0.250 0.250
3 Lu 0.000 0.000 0.000
4 Pt 0.750 0.750 0.750

[6]
The following is a GGA-PBE calculation of a relaxed Tb7Dy12Pb crystal, from Alexandria.

Values from the calculation:
The space group is No. 148. For the density of states at the Fermi level, the calculation gives 1.891 states/eV/atom. For the total magnetic moment, the calculation gives 0.00 Bohr magnetons per cell. The value obtained for the formation energy is 0.17 eV per atom.

Unit cell a=8.723 b=8.723 c=8.723 alpha=89.06 beta=89.06 gamma=89.06
Element x y z (fractional)
1 Tb 0.217 0.627 0.761
2 Tb 0.373 0.239 0.783
3 Tb 0.239 0.783 0.373
4 Tb 0.500 0.500 0.500
5 Tb 0.761 0.217 0.627
6 Tb 0.627 0.761 0.217
7 Tb 0.783 0.373 0.239
8 Dy 0.007 0.339 0.885
9 Dy 0.661 0.115 0.993
10 Dy 0.467 0.124 0.342
11 Dy 0.876 0.658 0.533
12 Dy 0.115 0.993 0.661
13 Dy 0.658 0.533 0.876
14 Dy 0.342 0.467 0.124
15 Dy 0.885 0.007 0.339
16 Dy 0.124 0.342 0.467
17 Dy 0.533 0.876 0.658
18 Dy 0.339 0.885 0.007
19 Dy 0.993 0.661 0.115
20 Pb 0.000 0.000 0.000

[7]
The following is a GGA-PBE calculation of a relaxed Pu3SnS crystal, from Alexandria.

Values from the calculation:
The space group is No. 221. For the density of states at the Fermi level, the calculation gives 5.284 states/eV/atom. For the total magnetic moment, the calculation gives 17.72 Bohr magnetons per cell. For the formation energy (no corrections), the calculation gives -51 kJ per mole of atoms.

Unit cell a=5.248 b=5.248 c=5.248 alpha=90.00 beta=90.00 gamma=90.00
Site moments in Bohr magnetons follow the coordinates.
Element x y z (fractional)
1 S 0.000 0.000 0.000  -0.14
2 Sn 0.500 0.500 0.500  -0.16
3 Pu 0.000 0.500 0.000  5.56
4 Pu 0.000 0.000 0.500  5.56
5 Pu 0.500 0.000 0.000  5.56

[8]
The following is a GGA-PBE calculation of a relaxed CsV2PbI8 crystal, from Alexandria.

Values from the calculation:
The space group is No. 148. For the density of states at the Fermi level, the calculation gives 0.624 states/eV/atom. For the total magnetic moment, the calculation gives 5.00 Bohr magnetons per cell. For the formation energy (no corrections), the calculation gives -56 kJ per mole of atoms.

Unit cell a=7.661 b=7.661 c=11.866 alpha=71.17 beta=71.17 gamma=60.00
Site moments in Bohr magnetons follow the coordinates.
Element x y z (fractional)
1 Cs 0.500 0.500 0.500  0.00
2 V 0.253 0.253 0.242  2.23
3 V 0.747 0.747 0.758  2.23
4 Pb 0.000 0.000 0.000  0.06
5 I 0.174 0.174 0.479  -0.03
6 I 0.599 0.291 0.175  -0.03
7 I 0.826 0.826 0.521  -0.03
8 I 0.934 0.599 0.175  -0.03
9 I 0.066 0.401 0.825  -0.03
10 I 0.291 0.934 0.175  -0.03
11 I 0.709 0.066 0.825  -0.03
12 I 0.401 0.709 0.825  -0.03

[9]
The following is a GGA-PBE calculation of a relaxed BaSr2Hf crystal, from Alexandria.

Values from the calculation:
The space group is No. 225. For the density of states at the Fermi level, the calculation gives 1.992 states/eV/atom. For the total magnetic moment, the calculation gives 0.81 Bohr magnetons per cell. The value obtained for the formation energy is 0.64 eV per atom. The distance to the lowest polymorph of the same formula comes out at 0.0000 eV per atom.

Unit cell a=6.167 b=6.167 c=6.167 alpha=60.00 beta=60.00 gamma=60.00
Site moments in Bohr magnetons follow the coordinates.
Element x y z (fractional)
1 Sr 0.250 0.250 0.250  0.02
2 Sr 0.750 0.750 0.750  0.02
3 Hf 0.500 0.500 0.500  0.33
4 Ba 0.000 0.000 0.000  0.03

[10]
The following is a GGA-PBE calculation of a relaxed MgSb5 crystal, from Alexandria.

Values from the calculation:
The space group is No. 216. For the density of states at the Fermi level, the calculation gives 0.826 states/eV/atom. For the total magnetic moment, the calculation gives 0.00 Bohr magnetons per cell. For the formation energy (no corrections), the calculation gives 31 kJ per mole of atoms. The distance to the lowest polymorph of the same formula comes out at 0.2719 eV per atom.

Unit cell a=6.258 b=6.258 c=6.258 alpha=60.00 beta=60.00 gamma=60.00
Element x y z (fractional)
1 Mg 0.000 0.000 0.000
2 Sb 0.250 0.250 0.250
3 Sb 0.625 0.625 0.625
4 Sb 0.625 0.625 0.124
5 Sb 0.124 0.625 0.625
6 Sb 0.625 0.124 0.625

[11]
The following is a GGA-PBE calculation of a relaxed PmSmYHg crystal, from Alexandria.

Values from the calculation:
The space group is No. 216. For the density of states at the Fermi level, the calculation gives 1.637 states/eV/atom. For the total magnetic moment, the calculation gives 0.56 Bohr magnetons per cell. The value obtained for the formation energy is -0.04 eV per atom. The distance to the lowest polymorph of the same formula comes out at 0.1919 eV per atom.

Unit cell a=5.482 b=5.482 c=5.482 alpha=60.00 beta=60.00 gamma=60.00
Site moments in Bohr magnetons follow the coordinates.
Element x y z (fractional)
1 Y 0.750 0.750 0.750  0.09
2 Hg 0.500 0.500 0.500  -0.01
3 Sm 0.250 0.250 0.250  0.08
4 Pm 0.000 0.000 0.000  0.17

[12]
The following is a GGA-PBE calculation of a relaxed YPa2Sn9 crystal, from Alexandria.

Values from the calculation:
The space group is No. 123. For the density of states at the Fermi level, the calculation gives 0.948 states/eV/atom. For the total magnetic moment, the calculation gives 0.00 Bohr magnetons per cell. The value obtained for the formation energy is -0.34 eV per atom.

Unit cell a=4.663 b=4.663 c=14.026 alpha=90.00 beta=90.00 gamma=90.00
Element x y z (fractional)
1 Y 0.000 0.000 0.000
2 Pa 0.000 0.000 0.337
3 Pa 0.000 0.000 0.663
4 Sn 0.500 0.500 0.000
5 Sn 0.500 0.500 0.334
6 Sn 0.500 0.500 0.666
7 Sn 0.500 0.000 0.169
8 Sn 0.500 0.000 0.500
9 Sn 0.500 0.000 0.831
10 Sn 0.000 0.500 0.169
11 Sn 0.000 0.500 0.500
12 Sn 0.000 0.500 0.831

What did the fourth record say?
The following is a GGA-PBE calculation of a relaxed TlCr2Re crystal, from Alexandria.

Values from the calculation:
The space group is No. 122. For the density of states at the Fermi level, the calculation gives 0.936 states/eV/atom. For the total magnetic moment, the calculation gives 7.98 Bohr magnetons per cell. The value obtained for the formation energy is 1.04 eV per atom. The distance to the lowest polymorph of the same formula comes out at 0.5710 eV per atom.

Unit cell a=7.177 b=7.177 c=5.790 alpha=51.70 beta=51.70 gamma=90.00
Site moments in Bohr magnetons follow the coordinates.
Element x y z (fractional)
1 Re 0.500 0.500 0.000  -0.70
2 Re 0.250 0.750 0.500  -0.71
3 Tl 0.000 0.000 0.000  -0.01
4 Tl 0.750 0.250 0.500  -0.02
5 Cr 0.572 0.125 0.250  2.23
6 Cr 0.178 0.625 0.250  2.25
7 Cr 0.375 0.428 0.750  2.20
8 Cr 0.875 0.822 0.750  2.21

Number 7 is which compound?
Pu3SnS

Which of these has the highest total magnetic moment?
Pu3SnS

Which value of total magnetic moment does entry 1 give?
0.90 Bohr magnetons per cell